Record 1
First-principles (PBE) data for an optimized crystal structure of PmUO4F, as listed in Alexandria via LeMat-Bulk.

Values from the calculation:
E_form (uncorrected)   -3.21 eV per atom
M_tot   0.00 μB/atom

Cell: 6.190 6.190 6.735 Å, 95.72 95.72 71.17°
Fractional coordinates of all 14 atoms:
Pm 0.191 0.191 0.075
Pm 0.809 0.809 0.925
U 0.359 0.359 0.629
U 0.641 0.641 0.371
O 0.124 0.491 0.835
O 0.195 0.195 0.461
O 0.439 0.439 0.312
O 0.491 0.124 0.835
O 0.509 0.876 0.165
O 0.561 0.561 0.688
O 0.805 0.805 0.539
O 0.876 0.509 0.165
F 0.024 0.024 0.821
F 0.976 0.976 0.179

Record 2
First-principles (PBE) data for an optimized crystal structure of RbH2Pb2, as listed in Alexandria via LeMat-Bulk.

Values from the calculation:
M_tot   0.00 μB/atom
Uncorrected energy   -2.995 eV/atom

Cell: 3.811 5.728 6.959 Å, 92.45 105.06 90.97°
Fractional coordinates of all 5 atoms:
Rb 0.000 0.000 0.000
H 0.389 0.755 0.780
H 0.611 0.245 0.220
Pb 0.251 0.740 0.495
Pb 0.749 0.260 0.505

Record 3
First-principles (PBE) data for an optimized crystal structure of K3YSb2Se6, as listed in Alexandria via LeMat-Bulk.

Values from the calculation:
E_form (uncorrected)   -1.06 eV per atom
M_tot   0.00 μB/atom

Cell: 7.349 7.349 8.065 Å, 98.73 98.73 120.00°
Fractional coordinates of all 12 atoms:
K 0.000 0.000 0.000
K 0.331 0.669 0.000
K 0.669 0.331 0.000
Y 0.500 0.500 0.500
Sb 0.166 0.834 0.500
Sb 0.834 0.166 0.500
Se 0.100 0.432 0.295
Se 0.237 0.237 0.706
Se 0.432 0.100 0.295
Se 0.568 0.900 0.705
Se 0.763 0.763 0.294
Se 0.900 0.568 0.705

Record 4
First-principles (PBE) data for an optimized crystal structure of Tb3TmZn, as listed in Alexandria via LeMat-Bulk.

Values from the calculation:
Energy above the lowest structure with this stoichiometry   0 kJ/mol of formula units
M_tot   0.00 μB/atom
Energy of formation   -60 kJ/mol of formula units

Cell: 3.621 5.365 14.596 Å, 89.93 82.89 90.00°
Fractional coordinates of all 10 atoms:
Tb 0.045 0.248 0.410
Tb 0.125 0.749 0.250
Tb 0.340 0.751 0.819
Tb 0.660 0.249 0.181
Tb 0.875 0.251 0.750
Tb 0.955 0.752 0.590
Tm 0.268 0.250 0.964
Tm 0.732 0.750 0.036
Zn 0.460 0.254 0.580
Zn 0.540 0.746 0.420

Record 5
First-principles (PBE) data for an optimized crystal structure of Ga2Ge2Pt, as listed in Alexandria via LeMat-Bulk.

Values from the calculation:
Energy above the lowest structure with this stoichiometry   40 kJ/mol of formula units
M_tot   0.00 μB/atom
Energy of formation   0 kJ/mol of formula units

Cell: 6.543 6.543 4.390 Å, 90.00 90.00 90.00°
Fractional coordinates of all 10 atoms:
Ga 0.144 0.356 0.000
Ga 0.356 0.856 0.000
Ga 0.644 0.144 0.000
Ga 0.856 0.644 0.000
Ge 0.161 0.661 0.500
Ge 0.339 0.161 0.500
Ge 0.661 0.839 0.500
Ge 0.839 0.339 0.500
Pt 0.000 0.000 0.000
Pt 0.500 0.500 0.000

Record 6
First-principles (PBE) data for an optimized crystal structure of Np3Al2ZnGa9, as listed in Alexandria via LeMat-Bulk.

Values from the calculation:
M_tot   0.85 μB/atom
Energy of formation   258 kJ/mol of formula units

Cell: 5.698 5.698 12.264 Å, 90.00 90.00 120.00°
Fractional coordinates of all 15 atoms:
Np 0.000 0.000 0.000
Np 0.333 0.667 0.781
Np 0.667 0.333 0.219
Al 0.333 0.667 0.164
Al 0.667 0.333 0.836
Zn 0.000 0.000 0.500
Ga 0.000 0.500 0.000
Ga 0.163 0.327 0.330
Ga 0.163 0.837 0.330
Ga 0.327 0.163 0.670
Ga 0.500 0.000 0.000
Ga 0.500 0.500 0.000
Ga 0.673 0.837 0.330
Ga 0.837 0.163 0.670
Ga 0.837 0.673 0.670

Record 7
First-principles (PBE) data for an optimized crystal structure of LaTb2AlO, as listed in Alexandria via LeMat-Bulk.

Values from the calculation:
E_form (uncorrected)   -1.34 eV per atom
M_tot   0.00 μB/atom

Cell: 4.786 4.786 4.999 Å, 90.00 90.00 90.00°
Fractional coordinates of all 5 atoms:
La 0.000 0.000 0.000
Tb 0.000 0.500 0.500
Tb 0.500 0.000 0.500
Al 0.500 0.500 0.000
O 0.000 0.000 0.500

Record 8
First-principles (PBE) data for an optimized crystal structure of Y3Ir, as listed in Alexandria via LeMat-Bulk.

Values from the calculation:
M_tot   0.00 μB/atom
Energy of formation   -103 kJ/mol of formula units

Cell: 7.090 7.090 4.657 Å, 90.00 90.00 120.00°
Fractional coordinates of all 8 atoms:
Y 0.184 0.368 0.250
Y 0.184 0.816 0.250
Y 0.368 0.184 0.750
Y 0.632 0.816 0.250
Y 0.816 0.184 0.750
Y 0.816 0.632 0.750
Ir 0.333 0.667 0.750
Ir 0.667 0.333 0.250

Record 9
First-principles (PBE) data for an optimized crystal structure of TcHgW2, as listed in Alexandria via LeMat-Bulk.

Values from the calculation:
M_tot   0.00 μB/atom
Energy of formation   197 kJ/mol of formula units

Cell: 2.954 2.954 7.855 Å, 90.00 90.00 90.00°
Fractional coordinates of all 4 atoms:
Tc 0.000 0.000 0.000
Hg 0.500 0.500 0.723
W 0.000 0.000 0.447
W 0.500 0.500 0.197

Record 10
First-principles (PBE) data for an optimized crystal structure of Cd5Pt2Au2, as listed in Alexandria via LeMat-Bulk.

Values from the calculation:
M_tot   0.00 μB/atom
Energy of formation   -122 kJ/mol of formula units

Cell: 7.941 7.941 7.228 Å, 90.00 90.00 54.16°
Fractional coordinates of all 18 atoms:
Cd 0.000 0.000 0.000
Cd 0.023 0.684 0.668
Cd 0.184 0.523 0.168
Cd 0.316 0.977 0.668
Cd 0.477 0.816 0.168
Cd 0.500 0.500 0.500
Cd 0.523 0.184 0.832
Cd 0.684 0.023 0.332
Cd 0.816 0.477 0.832
Cd 0.977 0.316 0.332
Pt 0.199 0.199 0.000
Pt 0.301 0.301 0.500
Pt 0.699 0.699 0.500
Pt 0.801 0.801 0.000
Au 0.136 0.864 0.365
Au 0.364 0.636 0.865
Au 0.636 0.364 0.135
Au 0.864 0.136 0.635

Record 11
First-principles (PBE) data for an optimized crystal structure of Cd8In6Hg, as listed in Alexandria via LeMat-Bulk.

Values from the calculation:
M_tot   0.00 μB/atom
Energy of formation   76 kJ/mol of formula units

Cell: 7.772 7.772 7.772 Å, 67.56 67.56 67.56°
Fractional coordinates of all 15 atoms:
Cd 0.069 0.867 0.381
Cd 0.133 0.619 0.931
Cd 0.243 0.243 0.243
Cd 0.381 0.069 0.867
Cd 0.619 0.931 0.133
Cd 0.757 0.757 0.757
Cd 0.867 0.381 0.069
Cd 0.931 0.133 0.619
In 0.167 0.424 0.611
In 0.389 0.833 0.576
In 0.424 0.611 0.167
In 0.576 0.389 0.833
In 0.611 0.167 0.424
In 0.833 0.576 0.389
Hg 0.000 0.000 0.000

Record 12
First-principles (PBE) data for an optimized crystal structure of ZrRh2Cl, as listed in Alexandria via LeMat-Bulk.

Values from the calculation:
E_form (uncorrected)   -0.34 eV per atom
Energy above the lowest structure with this stoichiometry   38 kJ/mol of formula units
M_tot   0.00 μB/atom

Cell: 3.379 3.379 7.585 Å, 90.00 90.00 90.00°
Fractional coordinates of all 4 atoms:
Zr 0.000 0.000 0.000
Rh 0.000 0.000 0.671
Rh 0.500 0.500 0.791
Cl 0.500 0.500 0.221

Record 13
First-principles (PBE) data for an optimized crystal structure of PuMgCu10, as listed in Alexandria via LeMat-Bulk.

Values from the calculation:
M_tot   0.48 μB/atom
Energy of formation   -28 kJ/mol of formula units

Cell: 4.079 5.002 8.608 Å, 90.00 90.00 90.00°
Fractional coordinates of all 12 atoms:
Pu 0.000 0.000 0.000
Mg 0.000 0.500 0.500
Cu 0.000 0.000 0.343
Cu 0.000 0.000 0.657
Cu 0.000 0.500 0.180
Cu 0.000 0.500 0.820
Cu 0.500 0.000 0.500
Cu 0.500 0.250 0.252
Cu 0.500 0.250 0.748
Cu 0.500 0.500 0.000
Cu 0.500 0.750 0.252
Cu 0.500 0.750 0.748

Record 14
First-principles (PBE) data for an optimized crystal structure of PtC3Se, as listed in Alexandria via LeMat-Bulk.

Values from the calculation:
E_form (uncorrected)   2.85 eV per atom
Energy above the lowest structure with this stoichiometry   182 kJ/mol of formula units
M_tot   0.00 μB/atom

Cell: 3.856 3.856 3.856 Å, 90.00 90.00 90.00°
Fractional coordinates of all 5 atoms:
Pt 0.000 0.000 0.000
C 0.000 0.500 0.500
C 0.500 0.000 0.500
C 0.500 0.500 0.000
Se 0.500 0.500 0.500

Record 15
First-principles (PBE) data for an optimized crystal structure of ErNiSn2, as listed in Alexandria via LeMat-Bulk.

Values from the calculation:
M_tot   0.00 μB/atom
Energy of formation   -121 kJ/mol of formula units

Cell: 4.407 4.407 4.354 Å, 90.00 90.00 90.00°
Fractional coordinates of all 4 atoms:
Er 0.000 0.000 0.000
Ni 0.500 0.500 0.000
Sn 0.000 0.500 0.500
Sn 0.500 0.000 0.500

Record 16
First-principles (PBE) data for an optimized crystal structure of Nb3AuN, as listed in Alexandria via LeMat-Bulk.

Values from the calculation:
E_form (uncorrected)   -0.50 eV per atom
M_tot   0.00 μB/atom

Cell: 5.306 5.306 5.877 Å, 90.00 90.00 107.13°
Fractional coordinates of all 10 atoms:
Nb 0.249 0.751 0.245
Nb 0.249 0.751 0.755
Nb 0.251 0.251 0.000
Nb 0.749 0.749 0.000
Nb 0.751 0.249 0.245
Nb 0.751 0.249 0.755
Au 0.251 0.251 0.500
Au 0.749 0.749 0.500
N 0.000 0.500 0.000
N 0.500 0.000 0.000

Record 17
First-principles (PBE) data for an optimized crystal structure of RuW2Br, as listed in Alexandria via LeMat-Bulk.

Values from the calculation:
E_form (uncorrected)   0.54 eV per atom
Energy above the lowest structure with this stoichiometry   19 kJ/mol of formula units
M_tot   0.00 μB/atom

Cell: 8.927 8.927 8.927 Å, 19.16 19.16 19.16°
Fractional coordinates of all 4 atoms:
Ru 0.000 0.000 0.000
W 0.259 0.259 0.259
W 0.505 0.505 0.505
Br 0.760 0.760 0.760

Record 18
First-principles (PBE) data for an optimized crystal structure of SnB3F12, as listed in Alexandria via LeMat-Bulk.

Values from the calculation:
E_form (uncorrected)   -2.62 eV per atom
M_tot   0.06 μB/atom

Cell: 9.243 9.243 9.243 Å, 51.88 51.88 51.88°
Fractional coordinates of all 32 atoms:
Sn 0.000 0.000 0.000
Sn 0.500 0.500 0.500
B 0.094 0.367 0.712
B 0.212 0.867 0.594
B 0.367 0.712 0.094
B 0.594 0.212 0.867
B 0.712 0.094 0.367
B 0.867 0.594 0.212
F 0.051 0.496 0.106
F 0.106 0.051 0.496
F 0.143 0.212 0.671
F 0.171 0.712 0.643
F 0.178 0.847 0.781
F 0.212 0.671 0.143
F 0.281 0.347 0.678
F 0.305 0.925 0.982
F 0.347 0.678 0.281
F 0.425 0.805 0.482
F 0.482 0.425 0.805
F 0.496 0.106 0.051
F 0.551 0.606 0.996
F 0.606 0.996 0.551
F 0.643 0.171 0.712
F 0.671 0.143 0.212
F 0.678 0.281 0.347
F 0.712 0.643 0.171
F 0.781 0.178 0.847
F 0.805 0.482 0.425
F 0.847 0.781 0.178
F 0.925 0.982 0.305
F 0.982 0.305 0.925
F 0.996 0.551 0.606

Record 19
First-principles (PBE) data for an optimized crystal structure of CdNi2IrC, as listed in Alexandria via LeMat-Bulk.

Values from the calculation:
M_tot   0.00 μB/atom
Energy of formation   39 kJ/mol of formula units

Cell: 3.965 3.965 3.997 Å, 90.00 90.00 90.00°
Fractional coordinates of all 5 atoms:
Cd 0.000 0.000 0.000
Ni 0.000 0.500 0.500
Ni 0.500 0.000 0.500
Ir 0.500 0.500 0.000
C 0.500 0.500 0.500

Record 20
First-principles (PBE) data for an optimized crystal structure of YFe2Pt, as listed in Alexandria via LeMat-Bulk.

Values from the calculation:
M_tot   1.27 μB/atom
Energy of formation   -56 kJ/mol of formula units

Cell: 5.043 5.043 5.043 Å, 135.42 130.69 68.64°
Fractional coordinates of all 4 atoms:
Y 0.000 0.000 0.000
Fe 0.256 0.756 0.500
Fe 0.457 0.457 0.000
Pt 0.738 0.238 0.500

Record 21
First-principles (PBE) data for an optimized crystal structure of K2RbAuCl, as listed in Alexandria via LeMat-Bulk.

Values from the calculation:
E_form (uncorrected)   -0.86 eV per atom
Energy above the lowest structure with this stoichiometry   0 kJ/mol of formula units
M_tot   0.09 μB/atom

Cell: 10.076 10.076 9.064 Å, 90.00 90.00 151.98°
Fractional coordinates of all 10 atoms:
K 0.165 0.835 0.501
K 0.165 0.835 0.999
K 0.835 0.165 0.001
K 0.835 0.165 0.499
Rb 0.487 0.513 0.750
Rb 0.513 0.487 0.250
Au 0.302 0.698 0.750
Au 0.698 0.302 0.250
Cl 0.000 0.000 0.000
Cl 0.000 0.000 0.500

Record 22
First-principles (PBE) data for an optimized crystal structure of Sr2Zn2In, as listed in Alexandria via LeMat-Bulk.

Values from the calculation:
M_tot   0.00 μB/atom
Energy of formation   -152 kJ/mol of formula units

Cell: 6.168 6.168 8.702 Å, 100.91 100.91 60.96°
Fractional coordinates of all 10 atoms:
Sr 0.008 0.287 0.148
Sr 0.287 0.008 0.648
Sr 0.713 0.992 0.352
Sr 0.992 0.713 0.852
Zn 0.213 0.501 0.502
Zn 0.499 0.787 0.998
Zn 0.501 0.213 0.002
Zn 0.787 0.499 0.498
In 0.366 0.634 0.250
In 0.634 0.366 0.750

Record 23
First-principles (PBE) data for an optimized crystal structure of TbTiRu4, as listed in Alexandria via LeMat-Bulk.

Values from the calculation:
M_tot   0.00 μB/atom
Energy of formation   -100 kJ/mol of formula units

Cell: 5.220 5.220 5.220 Å, 60.00 60.00 60.00°
Fractional coordinates of all 6 atoms:
Tb 0.000 0.000 0.000
Ti 0.250 0.250 0.250
Ru 0.127 0.624 0.624
Ru 0.624 0.127 0.624
Ru 0.624 0.624 0.127
Ru 0.624 0.624 0.624